(1)
An optimized crystal structure of Pm5Tl2Bi2. Source: Alexandria, functional PBE.

Structure (CIF):
```
data_Pm5Tl2Bi2
_space_group_name_H-M_alt 'C m c e'
_space_group_IT_number 64
_space_group_name_Hall '-C 2ac 2'
_cell_length_a 16.1923
_cell_length_b 8.4428
_cell_length_c 8.4307
_cell_angle_alpha 90.00
_cell_angle_beta 90.00
_cell_angle_gamma 90.00
loop_
_atom_site_label
_atom_site_type_symbol
_atom_site_fract_x
_atom_site_fract_y
_atom_site_fract_z
Pm1 Pm 0.0000 0.0000 0.0000
Pm2 Pm 0.1359 0.1713 0.3328
Tl1 Tl 0.0000 0.1302 0.6290
Bi1 Bi 0.2043 0.0000 0.0000
```

Properties
The spin magnetization is 0.003 μB/f.u. Its formation energy is -0.62 eV per atom. As for the density of states at the Fermi level: 7.2 states/eV/f.u.

***

(2)
An optimized crystal structure of PmTl2Bi2. Source: Alexandria, functional PBE.

Structure (CIF):
```
data_PmTl2Bi2
_space_group_name_H-M_alt 'C m c m'
_space_group_IT_number 63
_space_group_name_Hall '-C 2c 2'
_cell_length_a 4.6564
_cell_length_b 29.7274
_cell_length_c 4.5937
_cell_angle_alpha 90.00
_cell_angle_beta 90.00
_cell_angle_gamma 90.00
loop_
_atom_site_label
_atom_site_type_symbol
_atom_site_fract_x
_atom_site_fract_y
_atom_site_fract_z
Pm1 Pm 0.0000 0.1651 0.2500
Tl1 Tl 0.0000 0.0544 0.7500
Tl2 Tl 0.0000 0.4482 0.7500
Bi1 Bi 0.0000 0.2503 0.7500
Bi2 Bi 0.0000 0.3608 0.2500
```

Properties
The spin magnetization is 0.000 μB/f.u. Its formation energy is -0.36 eV per atom. As for the density of states at the Fermi level: 2.4 states/eV/f.u.

***

(3)
An optimized crystal structure of Pm6Tl5Bi. Source: Alexandria, functional PBE.

Structure (CIF):
```
data_Pm6Tl5Bi
_space_group_name_H-M_alt 'C 1 2/m 1'
_space_group_IT_number 12
_space_group_name_Hall '-C 2y'
_cell_length_a 5.1915
_cell_length_b 15.6203
_cell_length_c 8.6978
_cell_angle_alpha 90.00
_cell_angle_beta 90.06
_cell_angle_gamma 90.00
loop_
_atom_site_label
_atom_site_type_symbol
_atom_site_fract_x
_atom_site_fract_y
_atom_site_fract_z
Pm1 Pm 0.0000 0.0000 0.2487
Pm2 Pm 0.0001 0.3337 0.2466
Tl1 Tl 0.0000 0.1663 0.0000
Tl2 Tl 0.0000 0.1735 0.5000
Tl3 Tl 0.0000 0.5000 0.0000
Bi1 Bi 0.0000 0.5000 0.5000
```

Properties
The spin magnetization is 0.000 μB/f.u. Its formation energy is -0.44 eV per atom. As for the density of states at the Fermi level: 9.3 states/eV/f.u.

***

(4)
An optimized crystal structure of PmTlBi2. Source: Alexandria, functional PBE.

Structure (CIF):
```
data_PmTlBi2
_space_group_name_H-M_alt 'P 4/m m m'
_space_group_IT_number 123
_space_group_name_Hall '-P 4 2'
_cell_length_a 4.3161
_cell_length_b 4.3161
_cell_length_c 6.7320
_cell_angle_alpha 90.00
_cell_angle_beta 90.00
_cell_angle_gamma 90.00
loop_
_atom_site_label
_atom_site_type_symbol
_atom_site_fract_x
_atom_site_fract_y
_atom_site_fract_z
Pm1 Pm 0.0000 0.0000 0.0000
Tl1 Tl 0.0000 0.0000 0.5000
Bi1 Bi 0.5000 0.5000 0.2344
```

Properties
The spin magnetization is 0.000 μB/f.u. Its formation energy is -0.44 eV per atom. As for the density of states at the Fermi level: 3.6 states/eV/f.u.

***

(5)
An optimized crystal structure of Pm8TlBi2. Source: Alexandria, functional PBE.

Structure (CIF):
```
data_Pm8TlBi2
_space_group_name_H-M_alt 'C 1 2/m 1'
_space_group_IT_number 12
_space_group_name_Hall '-C 2y'
_cell_length_a 19.6575
_cell_length_b 5.1113
_cell_length_c 7.3411
_cell_angle_alpha 90.00
_cell_angle_beta 97.98
_cell_angle_gamma 90.00
loop_
_atom_site_label
_atom_site_type_symbol
_atom_site_fract_x
_atom_site_fract_y
_atom_site_fract_z
Pm1 Pm 0.0102 0.0000 0.2549
Pm2 Pm 0.0937 0.5000 0.9931
Pm3 Pm 0.1619 0.5000 0.5361
Pm4 Pm 0.2155 0.0000 0.8537
Tl1 Tl 0.0000 0.5000 0.5000
Bi1 Bi 0.1778 0.0000 0.2776
```

Properties
The spin magnetization is 0.000 μB/f.u. Its formation energy is -0.31 eV per atom. As for the density of states at the Fermi level: 13.3 states/eV/f.u.

***

(6)
An optimized crystal structure of Pm6Tl5Bi. Source: Alexandria, functional PBE.

Structure (CIF):
```
data_Pm6Tl5Bi
_space_group_name_H-M_alt 'I m m m'
_space_group_IT_number 71
_space_group_name_Hall '-I 2 2'
_cell_length_a 5.1983
_cell_length_b 8.7489
_cell_length_c 15.4737
_cell_angle_alpha 90.00
_cell_angle_beta 90.00
_cell_angle_gamma 90.00
loop_
_atom_site_label
_atom_site_type_symbol
_atom_site_fract_x
_atom_site_fract_y
_atom_site_fract_z
Pm1 Pm 0.0000 0.2494 0.0000
Pm2 Pm 0.0000 0.2491 0.3339
Tl1 Tl 0.0000 0.0000 0.1659
Tl2 Tl 0.0000 0.5000 0.1742
Tl3 Tl 0.0000 0.5000 0.5000
Bi1 Bi 0.0000 0.0000 0.5000
```

Properties
The spin magnetization is 0.000 μB/f.u. Its formation energy is -0.44 eV per atom. As for the density of states at the Fermi level: 8.4 states/eV/f.u.

***

(7)
An optimized crystal structure of Pm8TlBi5. Source: Alexandria, functional PBE.

Structure (CIF):
```
data_Pm8TlBi5
_space_group_name_H-M_alt 'I -4'
_space_group_IT_number 82
_space_group_name_Hall 'I -4'
_cell_length_a 9.6084
_cell_length_b 9.6084
_cell_length_c 9.6538
_cell_angle_alpha 90.00
_cell_angle_beta 90.00
_cell_angle_gamma 90.00
loop_
_atom_site_label
_atom_site_type_symbol
_atom_site_fract_x
_atom_site_fract_y
_atom_site_fract_z
Pm1 Pm 0.0706 0.3197 0.4464
Pm2 Pm 0.0717 0.1770 0.8019
Tl1 Tl 0.0000 0.0000 0.5000
Bi1 Bi 0.0000 0.5000 0.7500
Bi2 Bi 0.1240 0.2498 0.1239
```

Properties
The spin magnetization is 0.002 μB/f.u. Its formation energy is -0.75 eV per atom. As for the density of states at the Fermi level: 15.5 states/eV/f.u.

***

(8)
An optimized crystal structure of Pm4TlBi3. Source: Alexandria, functional PBE.

Structure (CIF):
```
data_Pm4TlBi3
_space_group_name_H-M_alt 'P m -3 m'
_space_group_IT_number 221
_space_group_name_Hall '-P 4 2 3'
_cell_length_a 6.4549
_cell_length_b 6.4549
_cell_length_c 6.4549
_cell_angle_alpha 90.00
_cell_angle_beta 90.00
_cell_angle_gamma 90.00
loop_
_atom_site_label
_atom_site_type_symbol
_atom_site_fract_x
_atom_site_fract_y
_atom_site_fract_z
Pm1 Pm 0.0000 0.0000 0.0000
Pm2 Pm 0.0000 0.5000 0.5000
Tl1 Tl 0.5000 0.5000 0.5000
Bi1 Bi 0.0000 0.0000 0.5000
```

Properties
The spin magnetization is 0.000 μB/f.u. Its formation energy is -0.72 eV per atom. As for the density of states at the Fermi level: 4.3 states/eV/f.u.

***

(9)
An optimized crystal structure of Pm3TlBi. Source: Alexandria, functional PBE.

Structure (CIF):
```
data_Pm3TlBi
_space_group_name_H-M_alt 'C 1 2/c 1'
_space_group_IT_number 15
_space_group_name_Hall '-C 2yc'
_cell_length_a 16.5652
_cell_length_b 16.2751
_cell_length_c 5.2547
_cell_angle_alpha 90.00
_cell_angle_beta 108.41
_cell_angle_gamma 90.00
loop_
_atom_site_label
_atom_site_type_symbol
_atom_site_fract_x
_atom_site_fract_y
_atom_site_fract_z
Pm1 Pm 0.1134 0.0802 0.3651
Pm2 Pm 0.1191 0.2574 0.8690
Pm3 Pm 0.1328 0.4195 0.3821
Tl1 Tl 0.0000 0.2474 0.2500
Tl2 Tl 0.0000 0.4256 0.7500
Bi1 Bi 0.2357 0.0962 0.9869
```

Properties
The spin magnetization is 0.000 μB/f.u. Its formation energy is -0.38 eV per atom. As for the density of states at the Fermi level: 5.1 states/eV/f.u.

***

(10)
An optimized crystal structure of Pm3TlBi2. Source: Alexandria, functional PBE.

Structure (CIF):
```
data_Pm3TlBi2
_space_group_name_H-M_alt 'I m m m'
_space_group_IT_number 71
_space_group_name_Hall '-I 2 2'
_cell_length_a 4.5030
_cell_length_b 6.4312
_cell_length_c 13.8970
_cell_angle_alpha 90.00
_cell_angle_beta 90.00
_cell_angle_gamma 90.00
loop_
_atom_site_label
_atom_site_type_symbol
_atom_site_fract_x
_atom_site_fract_y
_atom_site_fract_z
Pm1 Pm 0.0000 0.0000 0.0000
Pm2 Pm 0.0000 0.0000 0.3278
Tl1 Tl 0.0000 0.5000 0.0000
Bi1 Bi 0.0000 0.5000 0.3344
```

Properties
The spin magnetization is 0.000 μB/f.u. Its formation energy is -0.66 eV per atom. As for the density of states at the Fermi level: 4.4 states/eV/f.u.

***

(11)
An optimized crystal structure of PmTlBi2. Source: Alexandria, functional PBE.

Structure (CIF):
```
data_PmTlBi2
_space_group_name_H-M_alt 'F m -3 m'
_space_group_IT_number 225
_space_group_name_Hall '-F 4 2 3'
_cell_length_a 7.9731
_cell_length_b 7.9731
_cell_length_c 7.9731
_cell_angle_alpha 90.00
_cell_angle_beta 90.00
_cell_angle_gamma 90.00
loop_
_atom_site_label
_atom_site_type_symbol
_atom_site_fract_x
_atom_site_fract_y
_atom_site_fract_z
Pm1 Pm 0.0000 0.0000 0.0000
Tl1 Tl 0.0000 0.0000 0.5000
Bi1 Bi 0.2500 0.2500 0.2500
```

Properties
The spin magnetization is 0.000 μB/f.u. Its formation energy is -0.27 eV per atom. As for the density of states at the Fermi level: 2.4 states/eV/f.u.

***

(12)
An optimized crystal structure of PmTlBi2. Source: Alexandria, functional PBE.

Structure (CIF):
```
data_PmTlBi2
_space_group_name_H-M_alt 'R -3 m'
_space_group_IT_number 166
_space_group_name_Hall '-R 3 2"'
_cell_length_a 4.4283
_cell_length_b 4.4283
_cell_length_c 25.1129
_cell_angle_alpha 90.00
_cell_angle_beta 90.00
_cell_angle_gamma 120.00
loop_
_atom_site_label
_atom_site_type_symbol
_atom_site_fract_x
_atom_site_fract_y
_atom_site_fract_z
Pm1 Pm 0.0000 0.0000 0.0000
Tl1 Tl 0.0000 0.0000 0.5000
Bi1 Bi 0.0000 0.0000 0.2547
```

Properties
The spin magnetization is 0.000 μB/f.u. Its formation energy is -0.22 eV per atom. As for the density of states at the Fermi level: 2.8 states/eV/f.u.

***

(13)
An optimized crystal structure of PmTlBi4. Source: Alexandria, functional PBE.

Structure (CIF):
```
data_PmTlBi4
_space_group_name_H-M_alt 'F -4 3 m'
_space_group_IT_number 216
_space_group_name_Hall 'F -4 2 3'
_cell_length_a 9.3009
_cell_length_b 9.3009
_cell_length_c 9.3009
_cell_angle_alpha 90.00
_cell_angle_beta 90.00
_cell_angle_gamma 90.00
loop_
_atom_site_label
_atom_site_type_symbol
_atom_site_fract_x
_atom_site_fract_y
_atom_site_fract_z
Pm1 Pm 0.0000 0.0000 0.0000
Tl1 Tl 0.2500 0.2500 0.7500
Bi1 Bi 0.1247 0.1247 0.3753
```

Properties
The spin magnetization is 0.000 μB/f.u. Its formation energy is -0.09 eV per atom. As for the density of states at the Fermi level: 3.9 states/eV/f.u.

***

(14)
An optimized crystal structure of Pm8Tl2Bi. Source: Alexandria, functional PBE.

Structure (CIF):
```
data_Pm8Tl2Bi
_space_group_name_H-M_alt 'C 1 2/m 1'
_space_group_IT_number 12
_space_group_name_Hall '-C 2y'
_cell_length_a 19.8399
_cell_length_b 5.2706
_cell_length_c 7.1044
_cell_angle_alpha 90.00
_cell_angle_beta 101.17
_cell_angle_gamma 90.00
loop_
_atom_site_label
_atom_site_type_symbol
_atom_site_fract_x
_atom_site_fract_y
_atom_site_fract_z
Pm1 Pm 0.0240 0.0000 0.2548
Pm2 Pm 0.0907 0.5000 0.9649
Pm3 Pm 0.1600 0.5000 0.4879
Pm4 Pm 0.2066 0.0000 0.8244
Tl1 Tl 0.1863 0.0000 0.2590
Bi1 Bi 0.0000 0.5000 0.5000
```

Properties
The spin magnetization is 0.000 μB/f.u. Its formation energy is -0.23 eV per atom. As for the density of states at the Fermi level: 12.0 states/eV/f.u.

***

(15)
An optimized crystal structure of PmTmTlBi. Source: Alexandria, functional PBE.

Structure (CIF):
```
data_PmTmTlBi
_space_group_name_H-M_alt 'F -4 3 m'
_space_group_IT_number 216
_space_group_name_Hall 'F -4 2 3'
_cell_length_a 7.7442
_cell_length_b 7.7442
_cell_length_c 7.7442
_cell_angle_alpha 90.00
_cell_angle_beta 90.00
_cell_angle_gamma 90.00
loop_
_atom_site_label
_atom_site_type_symbol
_atom_site_fract_x
_atom_site_fract_y
_atom_site_fract_z
Pm1 Pm 0.0000 0.0000 0.0000
Tm1 Tm 0.0000 0.0000 0.5000
Tl1 Tl 0.2500 0.2500 0.2500
Bi1 Bi 0.2500 0.2500 0.7500
```

Properties
The spin magnetization is 0.000 μB/f.u. Its formation energy is -0.40 eV per atom. As for the density of states at the Fermi level: 4.0 states/eV/f.u.

***

(16)
An optimized crystal structure of Pm2TmBi. Source: Alexandria, functional PBE.

Structure (CIF):
```
data_Pm2TmBi
_space_group_name_H-M_alt 'F m -3 m'
_space_group_IT_number 225
_space_group_name_Hall '-F 4 2 3'
_cell_length_a 7.8611
_cell_length_b 7.8611
_cell_length_c 7.8611
_cell_angle_alpha 90.00
_cell_angle_beta 90.00
_cell_angle_gamma 90.00
loop_
_atom_site_label
_atom_site_type_symbol
_atom_site_fract_x
_atom_site_fract_y
_atom_site_fract_z
Pm1 Pm 0.2500 0.2500 0.2500
Tm1 Tm 0.0000 0.0000 0.0000
Bi1 Bi 0.0000 0.0000 0.5000
```

Properties
The spin magnetization is 0.000 μB/f.u. Its formation energy is -0.21 eV per atom. As for the density of states at the Fermi level: 3.1 states/eV/f.u.

***

(17)
An optimized crystal structure of PmTm2Bi2. Source: Alexandria, functional PBE.

Structure (CIF):
```
data_PmTm2Bi2
_space_group_name_H-M_alt 'C 1 2/m 1'
_space_group_IT_number 12
_space_group_name_Hall '-C 2y'
_cell_length_a 6.3752
_cell_length_b 6.3896
_cell_length_c 8.2222
_cell_angle_alpha 90.00
_cell_angle_beta 112.51
_cell_angle_gamma 90.00
loop_
_atom_site_label
_atom_site_type_symbol
_atom_site_fract_x
_atom_site_fract_y
_atom_site_fract_z
Pm1 Pm 0.0000 0.0000 0.0000
Tm1 Tm 0.0000 0.2504 0.5000
Bi1 Bi 0.1063 0.5000 0.2088
```

Properties
The spin magnetization is 0.000 μB/f.u. Its formation energy is -0.43 eV per atom. As for the density of states at the Fermi level: 4.7 states/eV/f.u.

***

(18)
An optimized crystal structure of PmTmBi. Source: Alexandria, functional PBE.

Structure (CIF):
```
data_PmTmBi
_space_group_name_H-M_alt 'I 4/m m m'
_space_group_IT_number 139
_space_group_name_Hall '-I 4 2'
_cell_length_a 4.5830
_cell_length_b 4.5830
_cell_length_c 17.3813
_cell_angle_alpha 90.00
_cell_angle_beta 90.00
_cell_angle_gamma 90.00
loop_
_atom_site_label
_atom_site_type_symbol
_atom_site_fract_x
_atom_site_fract_y
_atom_site_fract_z
Pm1 Pm 0.0000 0.0000 0.1763
Tm1 Tm 0.0000 0.5000 0.0000
Bi1 Bi 0.0000 0.0000 0.3657
```

Properties
The spin magnetization is 0.340 μB/f.u. Its formation energy is -0.60 eV per atom. As for the density of states at the Fermi level: 4.3 states/eV/f.u.

***

(19)
An optimized crystal structure of Pm4TmBi5. Source: Alexandria, functional PBE.

Structure (CIF):
```
data_Pm4TmBi5
_space_group_name_H-M_alt 'I 4/m'
_space_group_IT_number 87
_space_group_name_Hall '-I 4'
_cell_length_a 10.1746
_cell_length_b 10.1746
_cell_length_c 6.4412
_cell_angle_alpha 90.00
_cell_angle_beta 90.00
_cell_angle_gamma 90.00
loop_
_atom_site_label
_atom_site_type_symbol
_atom_site_fract_x
_atom_site_fract_y
_atom_site_fract_z
Pm1 Pm 0.0975 0.3008 0.0000
Tm1 Tm 0.0000 0.0000 0.5000
Bi1 Bi 0.0000 0.0000 0.0000
Bi2 Bi 0.0990 0.2945 0.5000
```

Properties
The spin magnetization is 0.000 μB/f.u. Its formation energy is -0.90 eV per atom. As for the density of states at the Fermi level: 1.7 states/eV/f.u.

***

(20)
An optimized crystal structure of PmTm8Bi6. Source: Alexandria, functional PBE.

Structure (CIF):
```
data_PmTm8Bi6
_space_group_name_H-M_alt 'R -3'
_space_group_IT_number 148
_space_group_name_Hall '-R 3'
_cell_length_a 7.5893
_cell_length_b 7.5893
_cell_length_c 29.3722
_cell_angle_alpha 90.00
_cell_angle_beta 90.00
_cell_angle_gamma 120.00
loop_
_atom_site_label
_atom_site_type_symbol
_atom_site_fract_x
_atom_site_fract_y
_atom_site_fract_z
Pm1 Pm 0.0000 0.0000 0.0000
Tm1 Tm 0.0000 0.0000 0.3337
Tm2 Tm 0.0039 0.3258 0.1225
Bi1 Bi 0.0023 0.3430 0.9365
```

Properties
The spin magnetization is 0.000 μB/f.u. Its formation energy is -0.46 eV per atom. As for the density of states at the Fermi level: 9.5 states/eV/f.u.